{"formula": "CrIn3Bi", "functional": "GGA-PBE", "state": "optimized geometry", "cell": [[5.2676, 0.0000, 0.0000], [0.0000, 5.2676, 0.0000], [0.0000, 0.0000, 5.2676]], "species": ["In", "Bi", "Cr", "In", "In"], "frac_coords": [[0.0000, 0.5000, 0.0000], [0.5000, 0.5000, 0.5000], [0.0000, 0.0000, 0.0000], [0.0000, 0.0000, 0.5000], [0.5000, 0.0000, 0.0000]], "relative_energy_mev_per_atom": 0, "space_group": "Pm-3m, No. 221", "magnetic_moment_mub_per_cell": 4.1, "dos_ef_per_ev_fu": 3.4, "formation_enthalpy_0k_ev_per_fu": 2.3, "crystal_system": "cubic"}